[1]
# PBE NbBiO3, optimized geometry
data_NbBiO3
_cell_length_a 4.279
_cell_length_b 4.279
_cell_length_c 4.279
_cell_angle_alpha 90.00
_cell_angle_beta 90.00
_cell_angle_gamma 90.00
_space_group_name_H-M_alt 'P m -3 m'
_space_group_IT_number 221
_space_group_name_Hall '-P 4 2 3'
loop_
_atom_site_label
_atom_site_fract_x
_atom_site_fract_y
_atom_site_fract_z
Nb1 0.000 0.000 0.000
Bi1 0.500 0.500 0.500
O1 0.000 0.500 0.500
# Crystal system: cubic
# Formation energy (no corrections) in eV per atom: -0.102
# Calculated volume in Å³/cell: 78.35

=====

[2]
# PBE Ta2MoRu2, optimized geometry
data_Ta2MoRu2
_cell_length_a 7.445
_cell_length_b 7.445
_cell_length_c 2.988
_cell_angle_alpha 90.00
_cell_angle_beta 90.00
_cell_angle_gamma 90.00
_space_group_name_H-M_alt 'P 4/m b m'
_space_group_IT_number 127
_space_group_name_Hall '-P 4 2ab'
loop_
_atom_site_label
_atom_site_fract_x
_atom_site_fract_y
_atom_site_fract_z
Ta1 0.165 0.335 0.000
Mo1 0.000 0.000 0.500
Ru1 0.135 0.635 0.500
# Crystal system: tetragonal
# Formation enthalpy at 0 K in eV/atom: 0.033
# Calculated volume in Å³/cell: 165.58

=====

[3]
# PBE ZrMoPt, optimized geometry
data_ZrMoPt
_cell_length_a 13.491
_cell_length_b 3.437
_cell_length_c 4.624
_cell_angle_alpha 90.00
_cell_angle_beta 93.28
_cell_angle_gamma 90.00
_space_group_name_H-M_alt 'C 1 m 1'
_space_group_IT_number 8
_space_group_name_Hall 'C -2y'
loop_
_atom_site_label
_atom_site_fract_x
_atom_site_fract_y
_atom_site_fract_z
Zr1 0.000 0.000 0.000
Zr2 0.182 0.000 0.537
Mo1 0.349 0.500 0.469
Mo2 0.493 0.000 0.502
Pt1 0.164 0.500 0.041
Pt2 0.334 0.000 0.976
# Crystal system: monoclinic
# Formation enthalpy at 0 K in eV/atom: -0.418
# Relative energy among the computed polymorphs in meV/atom: 103.6
# Calculated volume in Å³/cell: 214.03

=====

[4]
# PBE CePmInAg, optimized geometry
data_CePmInAg
_cell_length_a 7.623
_cell_length_b 7.623
_cell_length_c 7.623
_cell_angle_alpha 90.00
_cell_angle_beta 90.00
_cell_angle_gamma 90.00
_space_group_name_H-M_alt 'F -4 3 m'
_space_group_IT_number 216
_space_group_name_Hall 'F -4 2 3'
loop_
_atom_site_label
_atom_site_fract_x
_atom_site_fract_y
_atom_site_fract_z
Ce1 0.000 0.000 0.000
Pm1 0.000 0.000 0.500
In1 0.250 0.250 0.750
Ag1 0.250 0.250 0.250
# Crystal system: cubic
# Formation enthalpy at 0 K in eV/atom: -0.261
# Calculated volume in Å³/cell: 442.90

=====

[5]
# PBE SiOs2C2, optimized geometry
data_SiOs2C2
_cell_length_a 3.208
_cell_length_b 3.208
_cell_length_c 11.004
_cell_angle_alpha 90.00
_cell_angle_beta 90.00
_cell_angle_gamma 90.00
_space_group_name_H-M_alt 'I 4/m m m'
_space_group_IT_number 139
_space_group_name_Hall '-I 4 2'
loop_
_atom_site_label
_atom_site_fract_x
_atom_site_fract_y
_atom_site_fract_z
Si1 0.000 0.000 0.000
Os1 0.000 0.000 0.371
C1 0.000 0.500 0.250
# Crystal system: tetragonal
# Formation energy (no corrections) in eV per atom: 0.823
# Relative energy among the computed polymorphs in meV/atom: 0.0
# Calculated volume in Å³/cell: 113.26

=====

[6]
# PBE Li3NdBr6, optimized geometry
data_Li3NdBr6
_cell_length_a 9.088
_cell_length_b 13.843
_cell_length_c 4.627
_cell_angle_alpha 90.00
_cell_angle_beta 90.00
_cell_angle_gamma 90.00
_space_group_name_H-M_alt 'C m m m'
_space_group_IT_number 65
_space_group_name_Hall '-C 2 2'
loop_
_atom_site_label
_atom_site_fract_x
_atom_site_fract_y
_atom_site_fract_z
Li1 0.000 0.000 0.000
Li2 0.250 0.250 0.500
Nd1 0.000 0.500 0.000
Br1 0.000 0.361 0.500
Br2 0.209 0.125 0.000
# Crystal system: orthorhombic
# Formation energy (no corrections) in eV per atom: -1.548
# Relative energy among the computed polymorphs in meV/atom: 48.2
# Calculated volume in Å³/cell: 582.11

=====

[7]
# PBE Cs3Ac3TcO8, optimized geometry
data_Cs3Ac3TcO8
_cell_length_a 7.4460
_cell_length_b 7.4460
_cell_length_c 20.9891
_cell_angle_alpha 90.00
_cell_angle_beta 90.00
_cell_angle_gamma 120.00
_space_group_name_H-M_alt 'R -3 m'
_space_group_IT_number 166
_space_group_name_Hall '-R 3 2"'
loop_
_atom_site_label
_atom_site_fract_x
_atom_site_fract_y
_atom_site_fract_z
Cs1 0.0000 0.5000 0.0000
Ac1 0.0000 0.5000 0.5000
Tc1 0.0000 0.0000 0.5000
O1 0.0000 0.0000 0.2251
O2 0.0470 0.5235 0.2186
# Crystal system: trigonal
# Formation energy (no corrections) in eV per atom: -2.232
# Calculated volume in Å³/cell: 1007.80

=====

[8]
# PBE Ba3NpPa3N8, optimized geometry
data_Ba3NpPa3N8
_cell_length_a 7.2009
_cell_length_b 7.2009
_cell_length_c 19.3130
_cell_angle_alpha 90.00
_cell_angle_beta 90.00
_cell_angle_gamma 120.00
_space_group_name_H-M_alt 'R -3 m'
_space_group_IT_number 166
_space_group_name_Hall '-R 3 2"'
loop_
_atom_site_label
_atom_site_fract_x
_atom_site_fract_y
_atom_site_fract_z
Ba1 0.0000 0.5000 0.0000
Np1 0.0000 0.0000 0.5000
Pa1 0.0000 0.5000 0.5000
N1 0.0000 0.0000 0.2250
N2 0.0051 0.5026 0.2189
# Crystal system: trigonal
# Formation energy (no corrections) in eV per atom: -1.221
# Calculated volume in Å³/cell: 867.36

=====

[9]
# PBE Li2Tb2SmTl2, optimized geometry
data_Li2Tb2SmTl2
_cell_length_a 4.8636
_cell_length_b 4.8636
_cell_length_c 26.9236
_cell_angle_alpha 90.00
_cell_angle_beta 90.00
_cell_angle_gamma 120.00
_space_group_name_H-M_alt 'R -3 m'
_space_group_IT_number 166
_space_group_name_Hall '-R 3 2"'
loop_
_atom_site_label
_atom_site_fract_x
_atom_site_fract_y
_atom_site_fract_z
Li1 0.0000 0.0000 0.1009
Tb1 0.0000 0.0000 0.3726
Sm1 0.0000 0.0000 0.5000
Tl1 0.0000 0.0000 0.2390
# Crystal system: trigonal
# Formation enthalpy at 0 K in eV/atom: -0.186
# Calculated volume in Å³/cell: 551.55

=====

[10]
# PBE Sr2ZrNpP4, optimized geometry
data_Sr2ZrNpP4
_cell_length_a 6.945
_cell_length_b 4.037
_cell_length_c 7.267
_cell_angle_alpha 90.00
_cell_angle_beta 108.53
_cell_angle_gamma 90.00
_space_group_name_H-M_alt 'P 1 2/m 1'
_space_group_IT_number 10
_space_group_name_Hall '-P 2y'
loop_
_atom_site_label
_atom_site_fract_x
_atom_site_fract_y
_atom_site_fract_z
Sr1 0.000 0.000 0.000
Sr2 0.500 0.500 0.000
Zr1 0.000 0.500 0.500
Np1 0.500 0.000 0.500
P1 0.233 0.000 0.711
P2 0.258 0.500 0.290
# Crystal system: monoclinic
# Formation enthalpy at 0 K in eV/atom: -1.079
# Calculated volume in Å³/cell: 193.17

=====

[11]
# PBE In2Ni9Sn, optimized geometry
data_In2Ni9Sn
_cell_length_a 3.738
_cell_length_b 3.738
_cell_length_c 11.228
_cell_angle_alpha 90.00
_cell_angle_beta 90.00
_cell_angle_gamma 90.00
_space_group_name_H-M_alt 'P 4/m m m'
_space_group_IT_number 123
_space_group_name_Hall '-P 4 2'
loop_
_atom_site_label
_atom_site_fract_x
_atom_site_fract_y
_atom_site_fract_z
In1 0.000 0.000 0.167
Ni1 0.000 0.500 0.000
Ni2 0.000 0.500 0.335
Ni3 0.500 0.500 0.168
Ni4 0.500 0.500 0.500
Sn1 0.000 0.000 0.500
# Crystal system: tetragonal
# Formation enthalpy at 0 K in eV/atom: -0.090
# Calculated volume in Å³/cell: 156.85

=====

[12]
# PBE Co2Cl, optimized geometry
data_Co2Cl
_cell_length_a 11.138
_cell_length_b 2.915
_cell_length_c 6.266
_cell_angle_alpha 90.00
_cell_angle_beta 120.23
_cell_angle_gamma 90.00
_space_group_name_H-M_alt 'C 1 2/m 1'
_space_group_IT_number 12
_space_group_name_Hall '-C 2y'
loop_
_atom_site_label
_atom_site_fract_x
_atom_site_fract_y
_atom_site_fract_z
Co1 0.158 0.000 0.366
Co2 0.247 0.000 0.816
Cl1 0.056 0.500 0.795
# Crystal system: monoclinic
# Formation energy (no corrections) in eV per atom: 0.311
# Relative energy among the computed polymorphs in meV/atom: 419.4
# Calculated volume in Å³/cell: 175.78

=====

[13]
# PBE Ta2CoP, optimized geometry
data_Ta2CoP
_cell_length_a 3.598
_cell_length_b 4.525
_cell_length_c 7.231
_cell_angle_alpha 90.00
_cell_angle_beta 90.00
_cell_angle_gamma 90.00
_space_group_name_H-M_alt 'C m m m'
_space_group_IT_number 65
_space_group_name_Hall '-C 2 2'
loop_
_atom_site_label
_atom_site_fract_x
_atom_site_fract_y
_atom_site_fract_z
Ta1 0.000 0.000 0.249
Co1 0.000 0.500 0.500
P1 0.000 0.500 0.000
# Crystal system: orthorhombic
# Formation enthalpy at 0 K in eV/atom: -0.219
# Calculated volume in Å³/cell: 117.71

=====

[14]
# PBE Hg4BiPb2, optimized geometry
data_Hg4BiPb2
_cell_length_a 3.362
_cell_length_b 35.980
_cell_length_c 3.327
_cell_angle_alpha 90.00
_cell_angle_beta 90.00
_cell_angle_gamma 90.00
_space_group_name_H-M_alt 'C m m m'
_space_group_IT_number 65
_space_group_name_Hall '-C 2 2'
loop_
_atom_site_label
_atom_site_fract_x
_atom_site_fract_y
_atom_site_fract_z
Hg1 0.000 0.073 0.000
Hg2 0.000 0.363 0.500
Bi1 0.000 0.500 0.500
Pb1 0.000 0.209 0.000
# Crystal system: orthorhombic
# Formation enthalpy at 0 K in eV/atom: 0.097
# Relative energy among the computed polymorphs in meV/atom: 0.0
# Calculated volume in Å³/cell: 402.41

=====

[15]
# PBE As2Pt, optimized geometry
data_As2Pt
_cell_length_a 3.145
_cell_length_b 3.145
_cell_length_c 23.341
_cell_angle_alpha 90.00
_cell_angle_beta 90.00
_cell_angle_gamma 90.00
_space_group_name_H-M_alt 'I 41/a m d'
_space_group_IT_number 141
loop_
_space_group_symop_operation_xyz
'x,y,z'
'-x,-y,-z'
'-y+1/4,x+3/4,z+1/4'
'y+1/4,-x+3/4,-z+1/4'
'-x+1/2,-y,z+1/2'
'x+1/2,y,-z+1/2'
'y+1/4,-x+1/4,z+3/4'
'-y+1/4,x+1/4,-z+3/4'
'x,-y,-z'
'-x,y,z'
'-y+1/4,-x+1/4,-z+3/4'
'y+1/4,x+1/4,z+3/4'
'-x+1/2,y,-z+1/2'
'x+1/2,-y,z+1/2'
'y+1/4,x+3/4,-z+1/4'
'-y+1/4,-x+3/4,z+1/4'
'x+1/2,y+1/2,z+1/2'
'-x+1/2,-y+1/2,-z+1/2'
'-y+3/4,x+1/4,z+3/4'
'y+3/4,-x+1/4,-z+3/4'
'-x,-y+1/2,z'
'x,y+1/2,-z'
'y+3/4,-x+3/4,z+1/4'
'-y+3/4,x+3/4,-z+1/4'
'x+1/2,-y+1/2,-z+1/2'
'-x+1/2,y+1/2,z+1/2'
'-y+3/4,-x+3/4,-z+1/4'
'y+3/4,x+3/4,z+1/4'
'-x,y+1/2,-z'
'x,-y+1/2,z'
'y+3/4,x+1/4,-z+3/4'
'-y+3/4,-x+1/4,z+3/4'
loop_
_atom_site_label
_atom_site_fract_x
_atom_site_fract_y
_atom_site_fract_z
As1 0.000 0.250 0.308
Pt1 0.000 0.250 0.875
# Crystal system: tetragonal
# Formation enthalpy at 0 K in eV/atom: 0.025
# Calculated volume in Å³/cell: 230.81

=====

[16]
# PBE PrNbOs, optimized geometry
data_PrNbOs
_cell_length_a 4.541
_cell_length_b 4.541
_cell_length_c 6.819
_cell_angle_alpha 90.00
_cell_angle_beta 90.00
_cell_angle_gamma 90.00
_space_group_name_H-M_alt 'P 4/n m m'
_space_group_IT_number 129
loop_
_space_group_symop_operation_xyz
'x,y,z'
'-x,-y,-z'
'-y+1/2,x,z'
'y+1/2,-x,-z'
'-x+1/2,-y+1/2,z'
'x+1/2,y+1/2,-z'
'y,-x+1/2,z'
'-y,x+1/2,-z'
'x+1/2,-y,-z'
'-x+1/2,y,z'
'-y,-x,-z'
'y,x,z'
'-x,y+1/2,-z'
'x,-y+1/2,z'
'y+1/2,x+1/2,-z'
'-y+1/2,-x+1/2,z'
loop_
_atom_site_label
_atom_site_fract_x
_atom_site_fract_y
_atom_site_fract_z
Pr1 0.250 0.250 0.142
Nb1 0.250 0.750 0.500
Os1 0.250 0.250 0.690
# Crystal system: tetragonal
# Formation enthalpy at 0 K in eV/atom: -0.130
# Calculated volume in Å³/cell: 140.59

=====

[17]
# PBE PmZn2Pb, optimized geometry
data_PmZn2Pb
_cell_length_a 4.582
_cell_length_b 4.606
_cell_length_c 8.926
_cell_angle_alpha 90.00
_cell_angle_beta 90.00
_cell_angle_gamma 90.00
_space_group_name_H-M_alt 'I m m m'
_space_group_IT_number 71
_space_group_name_Hall '-I 2 2'
loop_
_atom_site_label
_atom_site_fract_x
_atom_site_fract_y
_atom_site_fract_z
Pm1 0.000 0.000 0.000
Zn1 0.000 0.500 0.250
Pb1 0.000 0.000 0.500
# Crystal system: orthorhombic
# Formation enthalpy at 0 K in eV/atom: -0.214
# Calculated volume in Å³/cell: 188.40

=====

[18]
# PBE Sr3GaN3, optimized geometry
data_Sr3GaN3
_cell_length_a 11.0481
_cell_length_b 11.0481
_cell_length_c 4.0410
_cell_angle_alpha 90.00
_cell_angle_beta 90.00
_cell_angle_gamma 120.00
_space_group_name_H-M_alt 'R 3 m'
_space_group_IT_number 160
_space_group_name_Hall 'R 3 -2"'
loop_
_atom_site_label
_atom_site_fract_x
_atom_site_fract_y
_atom_site_fract_z
Sr1 0.1817 0.3635 0.0000
Ga1 0.0000 0.0000 0.5301
N1 0.1004 0.2008 0.4819
# Crystal system: trigonal
# Formation energy (no corrections) in eV per atom: -0.543
# Relative energy among the computed polymorphs in meV/atom: 98.7
# Calculated volume in Å³/cell: 427.17

=====

Quick rundown of magnetic moment, same order as above: 3.0 0.0 0.0 1.5 0.0 0.0 3.0 2.7 0.0 2.9 1.4 3.7 0.0 0.0 0.0 0.0 0.0 0.0 μB/f.u.